Record 1
! DyBeOs (PBE-GGA, optimized geometry); values from VASP
! E above lowest polymorph = 254.1 meV per atom
! Uncorrected energy = -0.2389 Ha/atom
! Calculated formation energy = 0.018 eV per atom
&SYSTEM
  ibrav = 0, nat = 12, ntyp = 3
/
ATOMIC_SPECIES
Be 9.01 Be.upf
Os 190.23 Os.upf
Dy 162.50 Dy.upf
ATOMIC_POSITIONS crystal
Be 0.625 0.500 0.749
Be 0.875 0.000 0.249
Be 0.125 0.000 0.751
Be 0.875 0.500 0.251
Os 0.413 0.000 0.173
Os 0.337 0.500 0.327
Os 0.587 0.000 0.827
Os 0.163 0.500 0.673
Dy 0.584 0.832 0.500
Dy 0.834 0.332 0.000
Dy 0.166 0.668 0.000
Dy 0.916 0.168 0.500
CELL_PARAMETERS angstrom
4.713 0.000 0.000
2.356 4.174 0.000
2.356 0.000 9.217

=====

Record 2
! LiTh2Be3Ir4 (PBE-GGA, optimized geometry); values from VASP
! Uncorrected energy = -0.2572 Ha/atom
! Calculated formation energy = -0.661 eV per atom
&SYSTEM
  ibrav = 0, nat = 10, ntyp = 4
/
ATOMIC_SPECIES
Th 232.04 Th.upf
Ir 192.22 Ir.upf
Be 9.01 Be.upf
Li 6.94 Li.upf
ATOMIC_POSITIONS crystal
Th 0.000 0.500 0.759
Th 0.500 0.000 0.241
Ir 0.000 0.500 0.355
Ir 0.500 0.500 0.000
Ir 0.000 0.000 0.000
Ir 0.500 0.000 0.645
Be 0.500 0.000 0.887
Be 0.000 0.500 0.113
Be 0.000 0.000 0.500
Li 0.500 0.500 0.500
CELL_PARAMETERS angstrom
4.054 0.000 0.000
0.000 4.054 0.000
0.000 0.000 9.765

=====

Record 3
! TaTeP2 (PBE-GGA, optimized geometry); values from VASP
! Formation energy without anion corrections = 43 meV per atom
! Uncorrected energy = -0.2356 Ha/atom
&SYSTEM
  ibrav = 0, nat = 4, ntyp = 3
/
ATOMIC_SPECIES
Ta 180.95 Ta.upf
P 30.97 P.upf
Te 127.60 Te.upf
ATOMIC_POSITIONS crystal
Ta 0.500 0.500 0.250
P 0.000 0.000 0.413
P 0.000 0.000 0.087
Te 0.500 0.500 0.750
CELL_PARAMETERS angstrom
2.931 0.007 0.000
-0.723 2.841 0.000
0.000 0.000 11.138

=====

Record 4
! Np3Tl4CuS8 (PBE-GGA, optimized geometry); values from VASP
! Formation energy without anion corrections = -834 meV per atom
! Uncorrected energy = -0.2268 Ha/atom
&SYSTEM
  ibrav = 0, nat = 16, ntyp = 4
/
ATOMIC_SPECIES
Tl 204.38 Tl.upf
S 32.06 S.upf
Np 237.00 Np.upf
Cu 63.55 Cu.upf
ATOMIC_POSITIONS crystal
Tl 0.000 0.000 0.000
Tl 0.500 0.000 0.000
Tl 0.500 0.000 0.500
Tl 0.000 0.000 0.500
S 0.266 0.312 0.040
S 0.732 0.697 0.464
S 0.774 0.312 0.040
S 0.734 0.688 0.960
S 0.226 0.688 0.960
S 0.268 0.303 0.536
S 0.766 0.306 0.532
S 0.234 0.694 0.468
Np 0.500 0.500 0.500
Np 0.000 0.500 0.500
Np 0.500 0.500 0.000
Cu 0.000 0.500 0.000
CELL_PARAMETERS angstrom
7.885 0.000 0.000
0.000 8.795 0.588
-3.942 -3.968 5.628

=====

Record 5
! Cd2CuN (PBE-GGA, optimized geometry); values from VASP
! Formation energy without anion corrections = 716 meV per atom
! Uncorrected energy = -0.1046 Ha/atom
&SYSTEM
  ibrav = 0, nat = 8, ntyp = 3
/
ATOMIC_SPECIES
Cd 112.41 Cd.upf
Cu 63.55 Cu.upf
N 14.01 N.upf
ATOMIC_POSITIONS crystal
Cd 0.544 0.125 0.250
Cd 0.875 0.794 0.750
Cd 0.206 0.625 0.250
Cd 0.375 0.456 0.750
Cu 0.750 0.250 0.500
Cu 0.000 0.000 0.000
N 0.500 0.500 0.000
N 0.250 0.750 0.500
CELL_PARAMETERS angstrom
-1.550 2.723 4.859
4.671 -2.113 2.673
4.240 4.404 2.325

=====

Record 6
! Tb2PuHg8 (PBE-GGA, optimized geometry); values from VASP
! Uncorrected energy = -0.0952 Ha/atom
! Calculated formation energy = -0.225 eV per atom
&SYSTEM
  ibrav = 0, nat = 11, ntyp = 3
/
ATOMIC_SPECIES
Hg 200.59 Hg.upf
Tb 158.93 Tb.upf
Pu 244.00 Pu.upf
ATOMIC_POSITIONS crystal
Hg 0.351 0.139 0.701
Hg 0.000 0.706 0.000
Hg 0.649 0.438 0.299
Hg 0.157 0.157 0.314
Hg 0.843 0.843 0.686
Hg 0.351 0.562 0.701
Hg 0.649 0.861 0.299
Hg 0.000 0.294 0.000
Tb 0.193 0.693 0.386
Tb 0.807 0.307 0.614
Pu 0.500 0.000 0.000
CELL_PARAMETERS angstrom
4.924 0.000 -1.499
-1.090 6.309 -3.583
-0.066 0.619 8.621

=====

Record 7
! Pr6IrPt2Br3 (PBE-GGA, optimized geometry); values from VASP
! Formation energy without anion corrections = -1199 meV per atom
! Uncorrected energy = -0.2114 Ha/atom
&SYSTEM
  ibrav = 0, nat = 12, ntyp = 4
/
ATOMIC_SPECIES
Pr 140.91 Pr.upf
Pt 195.08 Pt.upf
Br 79.90 Br.upf
Ir 192.22 Ir.upf
ATOMIC_POSITIONS crystal
Pr 0.260 0.260 0.803
Pr 0.392 0.066 0.197
Pr 0.066 0.392 0.197
Pr 0.934 0.608 0.803
Pr 0.608 0.934 0.803
Pr 0.740 0.740 0.197
Pt 0.667 0.333 0.000
Pt 0.333 0.667 0.000
Br 0.165 0.835 0.500
Br 0.835 0.165 0.500
Br 0.500 0.500 0.500
Ir 0.000 0.000 0.000
CELL_PARAMETERS angstrom
-3.785 -5.460 -3.153
5.235 3.511 -3.786
4.812 -4.495 4.865

=====

Record 8
! Cs3VSn (PBE-GGA, optimized geometry); values from VASP
! Uncorrected energy = -0.0803 Ha/atom
! Calculated formation energy = 0.950 eV per atom
&SYSTEM
  ibrav = 0, nat = 5, ntyp = 3
/
ATOMIC_SPECIES
Cs 132.91 Cs.upf
Sn 118.71 Sn.upf
V 50.94 V.upf
ATOMIC_POSITIONS crystal
Cs 0.000 0.500 0.000
Cs 0.000 0.000 0.500
Cs 0.500 0.000 0.000
Sn 0.500 0.500 0.500
V 0.000 0.000 0.000
CELL_PARAMETERS angstrom
-6.225 -1.901 -1.573
0.525 -5.191 4.197
-2.411 3.778 4.975

=====

Record 9
! Cs3AsO4 (PBE-GGA, optimized geometry); values from VASP
! E above lowest polymorph = 11.0 meV per atom
! Formation energy without anion corrections = -1660 meV per atom
! Uncorrected energy = -0.1852 Ha/atom
&SYSTEM
  ibrav = 0, nat = 32, ntyp = 3
/
ATOMIC_SPECIES
Cs 132.91 Cs.upf
As 74.92 As.upf
O 16.00 O.upf
ATOMIC_POSITIONS crystal
Cs 0.472 0.773 0.462
Cs 0.528 0.227 0.962
Cs 0.304 0.573 0.750
Cs 0.804 0.927 0.750
Cs 0.528 0.227 0.538
Cs 0.696 0.427 0.250
Cs 0.472 0.773 0.038
Cs 0.028 0.273 0.962
Cs 0.196 0.073 0.250
Cs 0.972 0.727 0.462
Cs 0.028 0.273 0.538
Cs 0.972 0.727 0.038
As 0.232 0.510 0.250
As 0.732 0.990 0.250
As 0.268 0.010 0.750
As 0.768 0.490 0.750
O 0.773 0.286 0.750
O 0.958 0.562 0.750
O 0.227 0.714 0.250
O 0.458 0.938 0.750
O 0.173 0.946 0.887
O 0.042 0.438 0.250
O 0.827 0.054 0.387
O 0.327 0.446 0.113
O 0.827 0.054 0.113
O 0.173 0.946 0.613
O 0.273 0.214 0.750
O 0.327 0.446 0.387
O 0.542 0.062 0.250
O 0.727 0.786 0.250
O 0.673 0.554 0.887
O 0.673 0.554 0.613
CELL_PARAMETERS angstrom
8.564 0.000 0.000
0.000 8.539 0.000
0.000 0.000 10.508

=====

Record 10
! Ac4Se3F8 (PBE-GGA, optimized geometry); values from VASP
! Formation energy without anion corrections = -3162 meV per atom
! Uncorrected energy = -0.2187 Ha/atom
&SYSTEM
  ibrav = 0, nat = 30, ntyp = 3
/
ATOMIC_SPECIES
F 19.00 F.upf
Ac 227.00 Ac.upf
Se 78.96 Se.upf
ATOMIC_POSITIONS crystal
F 0.669 0.669 0.669
F 0.331 0.331 0.008
F 0.669 0.669 0.992
F 0.116 0.652 0.116
F 0.008 0.331 0.331
F 0.331 0.331 0.331
F 0.992 0.669 0.669
F 0.884 0.884 0.348
F 0.116 0.116 0.652
F 0.348 0.884 0.884
F 0.652 0.116 0.116
F 0.331 0.008 0.331
F 0.884 0.884 0.884
F 0.116 0.116 0.116
F 0.884 0.348 0.884
F 0.669 0.992 0.669
Ac 0.500 0.500 0.000
Ac 0.000 0.000 0.500
Ac 0.000 0.500 0.000
Ac 0.500 0.500 0.500
Ac 0.000 0.500 0.500
Ac 0.500 0.000 0.500
Ac 0.000 0.000 0.000
Ac 0.500 0.000 0.000
Se 0.720 0.280 0.280
Se 0.280 0.720 0.280
Se 0.720 0.280 0.720
Se 0.280 0.280 0.720
Se 0.280 0.720 0.720
Se 0.720 0.720 0.280
CELL_PARAMETERS angstrom
-6.543 6.446 0.236
-8.032 -1.755 4.101
-2.103 4.123 7.937

=====

Record 11
! Pm2PrNd2Mg (PBE-GGA, optimized geometry); values from VASP
! Uncorrected energy = -0.1480 Ha/atom
! Calculated formation energy = 0.207 eV per atom
&SYSTEM
  ibrav = 0, nat = 12, ntyp = 4
/
ATOMIC_SPECIES
Pm 145.00 Pm.upf
Nd 144.24 Nd.upf
Pr 140.91 Pr.upf
Mg 24.30 Mg.upf
ATOMIC_POSITIONS crystal
Pm 0.500 0.165 0.636
Pm 0.500 0.835 0.364
Pm 0.000 0.335 0.136
Pm 0.000 0.665 0.864
Nd 0.000 0.164 0.799
Nd 0.000 0.836 0.201
Nd 0.500 0.336 0.299
Nd 0.500 0.664 0.701
Pr 0.000 0.000 0.000
Pr 0.500 0.500 0.500
Mg 0.000 0.000 0.500
Mg 0.500 0.500 0.000
CELL_PARAMETERS angstrom
3.464 0.000 0.000
0.000 6.229 0.000
0.000 0.000 19.079

=====

Record 12
! Cs3PmNd2Te6 (PBE-GGA, optimized geometry); values from VASP
! Formation energy without anion corrections = -1414 meV per atom
! Uncorrected energy = -0.1613 Ha/atom
&SYSTEM
  ibrav = 0, nat = 12, ntyp = 4
/
ATOMIC_SPECIES
Pm 145.00 Pm.upf
Te 127.60 Te.upf
Cs 132.91 Cs.upf
Nd 144.24 Nd.upf
ATOMIC_POSITIONS crystal
Pm 0.000 0.000 0.000
Te 0.065 0.397 0.195
Te 0.935 0.603 0.805
Te 0.603 0.935 0.805
Te 0.267 0.267 0.805
Te 0.733 0.733 0.195
Te 0.397 0.065 0.195
Cs 0.500 0.500 0.500
Cs 0.167 0.833 0.500
Cs 0.833 0.167 0.500
Nd 0.667 0.333 0.000
Nd 0.333 0.667 0.000
CELL_PARAMETERS angstrom
8.087 0.000 0.000
-4.042 7.004 0.000
-1.349 -2.336 8.948

=====

Record 13
! SrZn6Au2 (PBE-GGA, optimized geometry); values from VASP
! Uncorrected energy = -0.0747 Ha/atom
! Calculated formation energy = -0.269 eV per atom
&SYSTEM
  ibrav = 0, nat = 9, ntyp = 3
/
ATOMIC_SPECIES
Zn 65.41 Zn.upf
Au 196.97 Au.upf
Sr 87.62 Sr.upf
ATOMIC_POSITIONS crystal
Zn 0.500 0.000 0.681
Zn 0.000 0.500 0.319
Zn 0.500 0.000 0.319
Zn 0.000 0.500 0.681
Zn 0.000 0.000 0.500
Zn 0.500 0.500 0.500
Au 0.500 0.500 0.852
Au 0.500 0.500 0.148
Sr 0.000 0.000 0.000
CELL_PARAMETERS angstrom
4.254 0.000 0.000
0.000 4.254 0.000
0.000 0.000 9.367

=====

Record 14
! LaZnInGa2 (PBE-GGA, optimized geometry); values from VASP
! Uncorrected energy = -0.0793 Ha/atom
! Calculated formation energy = 0.840 eV per atom
&SYSTEM
  ibrav = 0, nat = 5, ntyp = 4
/
ATOMIC_SPECIES
Zn 65.41 Zn.upf
Ga 69.72 Ga.upf
La 138.91 La.upf
In 114.82 In.upf
ATOMIC_POSITIONS crystal
Zn 0.500 0.500 0.500
Ga 0.500 0.000 0.000
Ga 0.000 0.000 0.500
La 0.000 0.000 0.000
In 0.000 0.500 0.000
CELL_PARAMETERS angstrom
5.823 0.000 0.000
0.000 6.428 0.000
0.000 0.000 5.823

=====

Record 15
! BeWSe2 (PBE-GGA, optimized geometry); values from VASP
! Formation energy without anion corrections = -53 meV per atom
! Uncorrected energy = -0.2192 Ha/atom
&SYSTEM
  ibrav = 0, nat = 4, ntyp = 3
/
ATOMIC_SPECIES
Se 78.96 Se.upf
Be 9.01 Be.upf
W 183.84 W.upf
ATOMIC_POSITIONS crystal
Se 0.000 0.866 0.868
Se 0.500 0.382 0.346
Be 0.500 0.874 0.696
W 0.000 0.379 0.590
CELL_PARAMETERS angstrom
3.364 0.000 0.000
0.000 3.240 -0.069
0.000 0.315 7.627

=====

Record 16
! NaGaPbI4 (PBE-GGA, optimized geometry); values from VASP
! Formation energy without anion corrections = -708 meV per atom
! Uncorrected energy = -0.1008 Ha/atom
&SYSTEM
  ibrav = 0, nat = 14, ntyp = 4
/
ATOMIC_SPECIES
Ga 69.72 Ga.upf
I 126.90 I.upf
Na 22.99 Na.upf
Pb 207.20 Pb.upf
ATOMIC_POSITIONS crystal
Ga 0.500 0.000 0.500
Ga 0.000 0.000 0.500
I 0.238 0.775 0.749
I 0.766 0.248 0.748
I 0.238 0.248 0.748
I 0.238 0.249 0.275
I 0.762 0.225 0.251
I 0.762 0.752 0.252
I 0.234 0.752 0.252
I 0.762 0.751 0.725
Na 0.362 0.388 0.888
Na 0.638 0.612 0.112
Pb 0.000 0.000 0.000
Pb 0.000 0.500 0.500
CELL_PARAMETERS angstrom
-3.549 -5.421 6.957
-4.944 -7.935 -2.209
3.847 -8.630 1.734

=====

Record 17
! HgGe2Se6 (PBE-GGA, optimized geometry); values from VASP
! Formation energy without anion corrections = -99 meV per atom
! Uncorrected energy = -0.1280 Ha/atom
&SYSTEM
  ibrav = 0, nat = 18, ntyp = 3
/
ATOMIC_SPECIES
Se 78.96 Se.upf
Ge 72.64 Ge.upf
Hg 200.59 Hg.upf
ATOMIC_POSITIONS crystal
Se 0.440 0.117 0.164
Se 0.315 0.427 0.906
Se 0.060 0.836 0.883
Se 0.685 0.573 0.094
Se 0.672 0.306 0.452
Se 0.940 0.164 0.117
Se 0.328 0.694 0.548
Se 0.172 0.452 0.306
Se 0.828 0.548 0.694
Se 0.560 0.883 0.836
Se 0.185 0.094 0.573
Se 0.815 0.906 0.427
Ge 0.649 0.773 0.623
Ge 0.851 0.377 0.227
Ge 0.351 0.227 0.377
Ge 0.149 0.623 0.773
Hg 0.750 0.736 0.264
Hg 0.250 0.264 0.736
CELL_PARAMETERS angstrom
5.879 -0.103 -0.100
1.500 9.714 0.205
1.500 0.520 9.702

=====

Record 18
! Dy4InSe2 (PBE-GGA, optimized geometry); values from VASP
! Formation energy without anion corrections = -1145 meV per atom
! Uncorrected energy = -0.1897 Ha/atom
&SYSTEM
  ibrav = 0, nat = 14, ntyp = 3
/
ATOMIC_SPECIES
Dy 162.50 Dy.upf
Se 78.96 Se.upf
In 114.82 In.upf
ATOMIC_POSITIONS crystal
Dy 0.929 0.859 0.750
Dy 0.500 0.000 0.000
Dy 0.770 0.540 0.377
Dy 0.230 0.460 0.877
Dy 0.071 0.141 0.250
Dy 0.500 0.000 0.500
Dy 0.770 0.540 0.123
Dy 0.230 0.460 0.623
Se 0.137 0.273 0.058
Se 0.863 0.727 0.558
Se 0.137 0.273 0.442
Se 0.863 0.727 0.942
In 0.396 0.793 0.250
In 0.604 0.207 0.750
CELL_PARAMETERS angstrom
-2.345 0.223 3.296
-2.637 -5.135 -4.020
8.159 -9.224 6.429

=====

Record 19
! Li2Pr3Se3O2 (PBE-GGA, optimized geometry); values from VASP
! Formation energy without anion corrections = -2046 meV per atom
! Uncorrected energy = -0.2168 Ha/atom
&SYSTEM
  ibrav = 0, nat = 10, ntyp = 4
/
ATOMIC_SPECIES
O 16.00 O.upf
Pr 140.91 Pr.upf
Li 6.94 Li.upf
Se 78.96 Se.upf
ATOMIC_POSITIONS crystal
O 0.779 0.779 0.558
O 0.221 0.221 0.442
Pr 0.139 0.139 0.278
Pr 0.861 0.861 0.722
Pr 0.500 0.500 0.000
Li 0.750 0.250 0.500
Li 0.250 0.750 0.500
Se 0.382 0.382 0.765
Se 0.000 0.000 0.000
Se 0.618 0.618 0.235
CELL_PARAMETERS angstrom
-0.945 0.909 3.960
-2.036 -3.624 0.346
12.348 -4.370 1.753

=====

Record 20
! TiMoPt2C (PBE-GGA, optimized geometry); values from VASP
! Uncorrected energy = -0.2114 Ha/atom
! Calculated formation energy = 2.254 eV per atom
&SYSTEM
  ibrav = 0, nat = 5, ntyp = 4
/
ATOMIC_SPECIES
Mo 95.94 Mo.upf
Pt 195.08 Pt.upf
C 12.01 C.upf
Ti 47.87 Ti.upf
ATOMIC_POSITIONS crystal
Mo 0.000 0.500 0.000
Pt 0.500 0.000 0.000
Pt 0.000 0.000 0.500
C 0.500 0.500 0.500
Ti 0.000 0.000 0.000
CELL_PARAMETERS angstrom
4.647 0.000 0.000
0.000 4.546 0.000
0.000 0.000 4.647